[1]
4
Lattice="3.988 0.000 0.000 0.000 3.988 0.000 0.000 0.000 6.372" Properties=species:S:1:pos:R:3 comment="PmAg2Bi | the Alexandria database | PBE | relaxed" sg=P4/mmm ef_ev_per_atom=-0.22 pbc="T T T"
Pm 0.000 0.000 0.000
Ag 1.994 1.994 1.560
Ag 1.994 1.994 4.812
Bi 0.000 0.000 3.186

[2]
16
Lattice="5.591 0.000 0.000 0.000 5.591 0.000 0.000 0.000 10.589" Properties=species:S:1:pos:R:3 comment="HfOsCl2 | the Alexandria database | PBE | relaxed" sg=I-42d raw_formation_energy_ev_per_atom=0.815 de_polymorph_ev_per_atom=0.826 pbc="T T T"
Hf 0.000 0.000 0.000
Hf 0.000 2.795 2.647
Hf 2.795 0.000 7.942
Hf 2.795 2.795 5.295
Os 0.000 0.000 5.295
Os 0.000 2.795 7.942
Os 2.795 0.000 2.647
Os 2.795 2.795 0.000
Cl 1.280 1.398 6.618
Cl 1.398 4.075 9.266
Cl 1.398 4.310 3.971
Cl 1.515 1.398 1.324
Cl 4.075 4.193 1.324
Cl 4.193 1.280 3.971
Cl 4.193 1.515 9.266
Cl 4.310 4.193 6.618

[3]
12
Lattice="2.909 0.000 0.000 -1.454 2.519 0.000 0.000 0.000 27.280" Properties=species:S:1:pos:R:3 comment="TlMoRu2 | the Alexandria database | PBE | relaxed" sg=R-3m ef_ev_per_atom=0.42 de_polymorph_ev_per_atom=0.113 pbc="T T T"
Tl 0.000 0.000 0.000
Tl 0.000 1.680 18.187
Tl 1.454 0.840 9.093
Mo 0.000 0.000 13.640
Mo 0.000 1.680 4.547
Mo 1.454 0.840 22.734
Ru 0.000 0.000 6.633
Ru 0.000 0.000 20.647
Ru 0.000 1.680 11.554
Ru 0.000 1.680 24.820
Ru 1.454 0.840 2.460
Ru 1.454 0.840 15.727

Total DFT energy (no corrections)
In order: -3.8002; -5.4043; -7.5214
Unit: eV/atom